Si2SeCl PBE relaxed; SG = P4/mmm; total moment = 0.0 μB per cell; excess energy over the best structure of this formula in the dataset = 615 meV/atom; mass density = 3.70 g/cm3; DOS(E_F) = 1.50 states/eV per cell
1.0
4.724 0.000 0.000
0.000 4.724 0.000
0.000 0.000 3.432
Si Se Cl
2 1 1
Direct
0.000 0.500 0.000
0.500 0.000 0.000
0.000 0.000 0.500
0.500 0.500 0.500

=====

Si2SeCl PBE relaxed; SG = F-43m; total moment = 0.0 μB per cell; excess energy over the best structure of this formula in the dataset = 755 meV/atom; mass density = 3.90 g/cm3; DOS(E_F) = 2.34 states/eV per cell
1.0
0.000 3.310 3.310
3.310 0.000 3.310
3.310 3.310 0.000
Si Se Cl
2 1 1
Direct
0.000 0.000 0.000
0.250 0.250 0.250
0.750 0.750 0.750
0.500 0.500 0.500

=====

Si2SeCl PBE relaxed; SG = P4mm; total moment = 0.0 μB per cell; excess energy over the best structure of this formula in the dataset = 304 meV/atom; mass density = 3.42 g/cm3; DOS(E_F) = 1.72 states/eV per cell
1.0
3.204 0.000 0.000
0.000 3.204 0.000
0.000 0.000 8.073
Si Se Cl
2 1 1
Direct
0.000 0.000 0.000
0.500 0.500 0.201
0.500 0.500 0.841
0.000 0.000 0.411

=====

SiSe2Cl PBE relaxed; SG = P2/m; total moment = 0.0 μB per cell; excess energy over the best structure of this formula in the dataset = 207 meV/atom; mass density = 3.89 g/cm3; DOS(E_F) = 1.46 states/eV per cell
1.0
4.989 0.000 0.000
0.000 3.743 0.000
-1.339 0.000 5.057
Si Se Cl
1 2 1
Direct
0.000 0.000 0.000
0.149 0.500 0.356
0.851 0.500 0.644
0.500 0.000 0.000

=====

Si2SeCl PBE relaxed; SG = Cmm2; total moment = 0.0 μB per cell; excess energy over the best structure of this formula in the dataset = 250 meV/atom; mass density = 2.84 g/cm3; DOS(E_F) = 2.01 states/eV per cell
1.0
1.730 -3.271 0.000
1.730 3.271 0.000
0.000 0.000 8.823
Si Se Cl
2 1 1
Direct
0.000 0.000 0.000
0.500 0.500 0.202
0.500 0.500 0.820
0.000 0.000 0.395

=====

SiSe2Cl PBE relaxed; SG = I-42d; total moment = 0.0 μB per cell; excess energy over the best structure of this formula in the dataset = 362 meV/atom; mass density = 3.63 g/cm3; DOS(E_F) = 9.54 states/eV per cell
1.0
-3.449 3.449 4.263
3.449 -3.449 4.263
3.449 3.449 -4.263
Si Se Cl
2 4 2
Direct
0.000 0.000 0.000
0.750 0.250 0.500
0.048 0.625 0.923
0.375 0.298 0.423
0.702 0.125 0.077
0.875 0.952 0.577
0.250 0.750 0.500
0.500 0.500 0.000

=====

SiSe3Cl PBE relaxed; SG = Pm-3m; total moment = 0.0 μB per cell; excess energy over the best structure of this formula in the dataset = 587 meV/atom; mass density = 4.09 g/cm3; DOS(E_F) = 2.34 states/eV per cell
1.0
4.961 0.000 0.000
0.000 4.961 0.000
0.000 0.000 4.961
Si Se Cl
1 3 1
Direct
0.000 0.000 0.000
0.000 0.500 0.500
0.500 0.000 0.500
0.500 0.500 0.000
0.500 0.500 0.500

=====

Si2SeCl PBE relaxed; SG = Cm; total moment = 0.0 μB per cell; excess energy over the best structure of this formula in the dataset = 204 meV/atom; mass density = 2.67 g/cm3; DOS(E_F) = 1.83 states/eV per cell
1.0
7.024 -1.695 0.000
7.024 1.695 0.000
-1.129 0.000 4.461
Si Se Cl
2 1 1
Direct
0.000 0.000 0.000
0.606 0.606 0.822
0.132 0.132 0.472
0.396 0.396 0.148

=====

SiSeCl3 PBE relaxed; SG = Pm-3m; total moment = 2.5 μB per cell; excess energy over the best structure of this formula in the dataset = 0 meV/atom; mass density = 2.95 g/cm3; DOS(E_F) = 4.72 states/eV per cell
1.0
4.933 0.000 0.000
0.000 4.933 0.000
0.000 0.000 4.933
Si Se Cl
1 1 3
Direct
0.000 0.000 0.000
0.500 0.500 0.500
0.000 0.000 0.500
0.000 0.500 0.000
0.500 0.000 0.000

=====

Si2SeCl PBE relaxed; SG = Pmmm; total moment = 0.0 μB per cell; excess energy over the best structure of this formula in the dataset = 409 meV/atom; mass density = 3.35 g/cm3; DOS(E_F) = 1.77 states/eV per cell
1.0
3.025 0.000 0.000
0.000 3.729 0.000
0.000 0.000 7.491
Si Se Cl
2 1 1
Direct
0.000 0.000 0.242
0.000 0.000 0.758
0.000 0.500 0.000
0.000 0.500 0.500

=====

SiSe2Cl PBE relaxed; SG = C2/m; total moment = 0.0 μB per cell; excess energy over the best structure of this formula in the dataset = 468 meV/atom; mass density = 3.98 g/cm3; DOS(E_F) = 1.47 states/eV per cell
1.0
5.190 -1.694 0.000
5.190 1.694 0.000
-1.398 0.000 5.255
Si Se Cl
1 2 1
Direct
0.000 0.000 0.000
0.329 0.329 0.855
0.671 0.671 0.145
0.500 0.500 0.500

=====

SiSeCl4 PBE relaxed; SG = F-43m; total moment = 3.9 μB per cell; mass density = 2.91 g/cm3; DOS(E_F) = 7.16 states/eV per cell; electronic total energy = -1.7819 eV per atom
1.0
0.000 4.139 4.139
4.139 0.000 4.139
4.139 4.139 0.000
Si Se Cl
1 1 4
Direct
0.000 0.000 0.000
0.250 0.250 0.250
0.123 0.626 0.626
0.626 0.123 0.626
0.626 0.626 0.123
0.626 0.626 0.626